# AcGeH2Ir2, optimized geometry, DFT PBE
# Energy   -5.90 eV/atom
data_AcGeH2Ir2
_chemical_formula_sum 'Ac2 Ge2 H4 Ir4'
_space_group_name_H-M_alt 'P 1 21/m 1'
_space_group_IT_number 11
_space_group_name_Hall '-P 2yb'
_cell_length_a 6.090
_cell_length_b 5.634
_cell_length_c 6.122
_cell_angle_alpha 90.00
_cell_angle_beta 101.23
_cell_angle_gamma 90.00
loop_
_atom_site_label
_atom_site_fract_x
_atom_site_fract_y
_atom_site_fract_z
Ac1 0.196 0.250 0.303
Ge1 0.373 0.750 0.122
H1 0.107 0.250 0.762
H2 0.268 0.750 0.605
Ir1 0.287 0.000 0.784